Entry 1:
Here is a geometry-optimized La5Pr4Mg2 structure from Alexandria via LeMat-Bulk. Energies are from PBE.

The structure in POSCAR format:
```
La5Pr4Mg2
1.0
8.957 0.000 0.000
0.000 3.579 0.000
-1.035 0.000 11.728
La Pr Mg
5 4 2
Direct
0.000 0.000 0.000 La
0.057 0.000 0.296 La
0.296 0.000 0.836 La
0.704 0.000 0.164 La
0.943 0.000 0.704 La
0.230 0.500 0.549 Pr
0.348 0.500 0.123 Pr
0.652 0.500 0.877 Pr
0.770 0.500 0.451 Pr
0.444 0.000 0.369 Mg
0.556 0.000 0.631 Mg
```

## Properties
formation energy from the elements	0.45	eV per formula unit
E_tot	-4.2272	eV/atom
relative energy among the computed polymorphs	0	meV/atom

---

Entry 2:
Here is a geometry-optimized Al4Cr5 structure from Alexandria via LeMat-Bulk. Energies are from PBE.

The structure in POSCAR format:
```
Al4Cr5
1.0
-4.366 4.366 1.539
4.366 -4.366 1.539
4.366 4.366 -1.539
Al Cr
4 5
Direct
0.000 0.317 0.317 Al
0.000 0.683 0.683 Al
0.317 0.000 0.317 Al
0.683 0.000 0.683 Al
0.000 0.000 0.000 Cr
0.326 0.326 0.653 Cr
0.326 0.674 0.000 Cr
0.674 0.326 0.000 Cr
0.674 0.674 0.347 Cr
```

## Properties
formation energy from the elements	0.16	eV per formula unit
E_tot	-6.9924	eV/atom
relative energy among the computed polymorphs	0	meV/atom

---

Entry 3:
Here is a geometry-optimized Mg2FeW structure from Alexandria via LeMat-Bulk. Energies are from PBE.

The structure in POSCAR format:
```
Mg2FeW
1.0
-1.497 2.189 4.667
1.497 -2.189 4.667
1.497 2.189 -4.667
Mg Fe W
2 1 1
Direct
0.227 0.227 0.000 Mg
0.773 0.773 0.000 Mg
0.000 0.500 0.500 Fe
0.500 0.000 0.500 W
```

## Properties
formation energy from the elements	1.78	eV per formula unit
E_tot	-5.7069	eV/atom
relative energy among the computed polymorphs	259	meV/atom

---

Entry 4:
Here is a geometry-optimized KSb2Pt6 structure from Alexandria via LeMat-Bulk. Energies are from PBE.

The structure in POSCAR format:
```
KSb2Pt6
1.0
3.996 0.000 0.000
0.000 3.996 0.000
0.000 0.000 12.167
K Sb Pt
1 2 6
Direct
0.000 0.000 0.000 K
0.500 0.500 0.189 Sb
0.500 0.500 0.811 Sb
0.000 0.000 0.500 Pt
0.000 0.500 0.331 Pt
0.000 0.500 0.669 Pt
0.500 0.000 0.331 Pt
0.500 0.000 0.669 Pt
0.500 0.500 0.500 Pt
```

## Properties
energy relative to the elements, uncorrected	-2.304	eV per formula unit
E_tot	-5.3212	eV/atom

---

Entry 5:
Here is a geometry-optimized HfTlOs structure from Alexandria via LeMat-Bulk. Energies are from PBE.

The structure in POSCAR format:
```
HfTlOs
1.0
3.238 0.000 0.000
0.000 4.418 0.000
-1.614 0.000 9.405
Hf Tl Os
2 2 2
Direct
0.067 0.250 0.133 Hf
0.933 0.750 0.867 Hf
0.299 0.250 0.600 Tl
0.701 0.750 0.400 Tl
0.445 0.250 0.891 Os
0.555 0.750 0.109 Os
```

## Properties
formation energy from the elements	-0.27	eV per formula unit
E_tot	-7.9411	eV/atom
relative energy among the computed polymorphs	0	meV/atom

---

Entry 6:
Here is a geometry-optimized Na2PRh2 structure from Alexandria via LeMat-Bulk. Energies are from PBE.

The structure in POSCAR format:
```
Na2PRh2
1.0
5.972 0.000 0.000
0.000 5.972 0.000
0.000 0.000 5.000
Na P Rh
4 2 4
Direct
0.170 0.330 0.000 Na
0.330 0.830 0.000 Na
0.670 0.170 0.000 Na
0.830 0.670 0.000 Na
0.000 0.000 0.500 P
0.500 0.500 0.500 P
0.157 0.657 0.500 Rh
0.343 0.157 0.500 Rh
0.657 0.843 0.500 Rh
0.843 0.343 0.500 Rh
```

## Properties
formation energy from the elements	-1.99	eV per formula unit
E_tot	-4.9491	eV/atom

---

Entry 7:
Here is a geometry-optimized La8SiAs5 structure from Alexandria via LeMat-Bulk. Energies are from PBE.

The structure in POSCAR format:
```
La8SiAs5
1.0
-4.614 4.614 4.615
4.614 -4.614 4.615
4.614 4.614 -4.615
La Si As
8 1 5
Direct
0.009 0.127 0.751 La
0.237 0.488 0.614 La
0.376 0.258 0.249 La
0.376 0.763 0.250 La
0.512 0.126 0.750 La
0.742 0.991 0.117 La
0.873 0.624 0.883 La
0.874 0.624 0.386 La
0.750 0.250 0.500 Si
0.000 0.377 0.126 As
0.126 0.000 0.377 As
0.250 0.874 0.874 As
0.500 0.500 0.000 As
0.623 0.750 0.623 As
```

## Properties
energy relative to the elements, uncorrected	-17.228	eV per formula unit
E_tot	-6.0942	eV/atom

---

What is the formula in the sixth record?
Na2PRh2

---

What did the seventh record say?
Here is a geometry-optimized La8SiAs5 structure from Alexandria via LeMat-Bulk. Energies are from PBE.

The structure in POSCAR format:
```
La8SiAs5
1.0
-4.614 4.614 4.615
4.614 -4.614 4.615
4.614 4.614 -4.615
La Si As
8 1 5
Direct
0.009 0.127 0.751 La
0.237 0.488 0.614 La
0.376 0.258 0.249 La
0.376 0.763 0.250 La
0.512 0.126 0.750 La
0.742 0.991 0.117 La
0.873 0.624 0.883 La
0.874 0.624 0.386 La
0.750 0.250 0.500 Si
0.000 0.377 0.126 As
0.126 0.000 0.377 As
0.250 0.874 0.874 As
0.500 0.500 0.000 As
0.623 0.750 0.623 As
```

## Properties
energy relative to the elements, uncorrected	-17.228	eV per formula unit
E_tot	-6.0942	eV/atom

---

Which value of E_tot does entry 5 give?
-7.9411 eV/atom

---

Which formula does entry 6 have?
Na2PRh2